Arrangement a

An optimized crystal structure of NiBi3Pd, computed with PBE.

a b c (Å): 5.3259 5.3259 5.3259
angles (deg): 90.00 90.00 90.00
Atoms (fractional coordinates):
Ni 0.5000 0.5000 0.5000
Bi 0.0000 0.5000 0.0000
Bi 0.0000 0.0000 0.5000
Bi 0.5000 0.0000 0.0000
Pd 0.0000 0.0000 0.0000

Values from the calculation:
Space-group type: Pm-3m (221)



Arrangement b

An optimized crystal structure of NiBi3Pd, computed with PBE.

a b c (Å): 5.0932 5.0932 5.0932
angles (deg): 90.00 90.00 90.00
Atoms (fractional coordinates):
Ni 0.0000 0.0000 0.0000
Bi 0.0000 0.5000 0.0000
Bi 0.0000 0.0000 0.5000
Bi 0.5000 0.0000 0.0000
Pd 0.5000 0.5000 0.5000

Values from the calculation:
Space-group type: Pm-3m (221)



Arrangement c

An optimized crystal structure of NiBi3Pd, computed with PBE.

a b c (Å): 6.5494 8.8542 8.8542
angles (deg): 98.58 100.44 100.44
Atoms (fractional coordinates):
Ni 0.2500 0.0728 0.9272
Ni 0.7500 0.9272 0.0728
Ni 0.2500 0.7466 0.2534
Ni 0.7500 0.2534 0.7466
Bi 0.6628 0.2058 0.0401
Bi 0.8372 0.9599 0.7942
Bi 0.3372 0.7942 0.9599
Bi 0.1628 0.0401 0.2058
Bi 0.8633 0.6570 0.0552
Bi 0.6367 0.9448 0.3430
Bi 0.1367 0.3430 0.9448
Bi 0.3633 0.0552 0.6570
Bi 0.4638 0.5056 0.3063
Bi 0.0362 0.6937 0.4944
Bi 0.5362 0.4944 0.6937
Bi 0.9638 0.3063 0.5056
Pd 0.0018 0.4484 0.2390
Pd 0.4982 0.7610 0.5516
Pd 0.9982 0.5516 0.7610
Pd 0.5018 0.2390 0.4484

Values from the calculation:
Space-group type: C2/c (15)



What is the least stable structure shown above? It is arrangement a.